(1)
Material: TaRe2HIr
Method: DFT, PBE
State: optimized geometry

As for the energy: -9.922 eV/atom. As for the energy above the most stable polymorph in this dataset: 0 meV per atom. As for the crystal system: tetragonal. The density of states at the Fermi level comes out at 0.618 states/eV/atom.

Geometry as CIF:
```
data_TaRe2HIr
_chemical_formula_sum 'Ta1 Re2 H1 Ir1'
_cell_length_a 3.9641
_cell_length_b 3.9641
_cell_length_c 4.0719
_cell_angle_alpha 90.00
_cell_angle_beta 90.00
_cell_angle_gamma 90.00
_space_group_name_H-M_alt 'P 1'
_space_group_IT_number 1
_space_group_name_Hall 'P 1'
loop_
_atom_site_label
_atom_site_type_symbol
_atom_site_fract_x
_atom_site_fract_y
_atom_site_fract_z
Ta1 Ta 0.0000 0.0000 0.0000
Re1 Re 0.0000 0.5000 0.5000
Re2 Re 0.5000 0.0000 0.5000
H1 H 0.0000 0.0000 0.5000
Ir1 Ir 0.5000 0.5000 0.0000
```

=====

(2)
Material: TaRe2HIr
Method: DFT, PBE
State: optimized geometry

As for the energy: -9.899 eV/atom. As for the energy above the most stable polymorph in this dataset: 23 meV per atom. As for the crystal system: tetragonal. The density of states at the Fermi level comes out at 0.631 states/eV/atom.

Geometry as CIF:
```
data_TaRe2HIr
_chemical_formula_sum 'Ta1 Re2 H1 Ir1'
_cell_length_a 3.9931
_cell_length_b 3.9931
_cell_length_c 4.0205
_cell_angle_alpha 90.00
_cell_angle_beta 90.00
_cell_angle_gamma 90.00
_space_group_name_H-M_alt 'P 1'
_space_group_IT_number 1
_space_group_name_Hall 'P 1'
loop_
_atom_site_label
_atom_site_type_symbol
_atom_site_fract_x
_atom_site_fract_y
_atom_site_fract_z
Ta1 Ta 0.0000 0.0000 0.0000
Re1 Re 0.0000 0.5000 0.5000
Re2 Re 0.5000 0.0000 0.5000
H1 H 0.5000 0.5000 0.5000
Ir1 Ir 0.5000 0.5000 0.0000
```

=====

(3)
Material: TaReHIr2
Method: DFT, PBE
State: optimized geometry

As for the energy: -9.356 eV/atom. As for the energy above the most stable polymorph in this dataset: 0 meV per atom. As for the crystal system: tetragonal. The density of states at the Fermi level comes out at 0.548 states/eV/atom.

Geometry as CIF:
```
data_TaReHIr2
_chemical_formula_sum 'Ta1 Re1 H1 Ir2'
_cell_length_a 3.9544
_cell_length_b 3.9544
_cell_length_c 4.0488
_cell_angle_alpha 90.00
_cell_angle_beta 90.00
_cell_angle_gamma 90.00
_space_group_name_H-M_alt 'P 1'
_space_group_IT_number 1
_space_group_name_Hall 'P 1'
loop_
_atom_site_label
_atom_site_type_symbol
_atom_site_fract_x
_atom_site_fract_y
_atom_site_fract_z
Ta1 Ta 0.0000 0.0000 0.0000
Re1 Re 0.5000 0.5000 0.0000
H1 H 0.5000 0.5000 0.5000
Ir1 Ir 0.0000 0.5000 0.5000
Ir2 Ir 0.5000 0.0000 0.5000
```

=====

(4)
Material: TaReHIr2
Method: DFT, PBE
State: optimized geometry

As for the energy: -9.311 eV/atom. As for the energy above the most stable polymorph in this dataset: 44 meV per atom. As for the crystal system: tetragonal. The density of states at the Fermi level comes out at 0.722 states/eV/atom.

Geometry as CIF:
```
data_TaReHIr2
_chemical_formula_sum 'Ta1 Re1 H1 Ir2'
_cell_length_a 3.9214
_cell_length_b 3.9214
_cell_length_c 4.1210
_cell_angle_alpha 90.00
_cell_angle_beta 90.00
_cell_angle_gamma 90.00
_space_group_name_H-M_alt 'P 1'
_space_group_IT_number 1
_space_group_name_Hall 'P 1'
loop_
_atom_site_label
_atom_site_type_symbol
_atom_site_fract_x
_atom_site_fract_y
_atom_site_fract_z
Ta1 Ta 0.0000 0.0000 0.0000
Re1 Re 0.5000 0.5000 0.0000
H1 H 0.0000 0.0000 0.5000
Ir1 Ir 0.0000 0.5000 0.5000
Ir2 Ir 0.5000 0.0000 0.5000
```

=====

(5)
Material: TlReH2Ir
Method: DFT, PBE
State: optimized geometry

As for the energy: -4.909 eV/atom. As for the crystal system: tetragonal. The density of states at the Fermi level comes out at 0.602 states/eV/atom.

Geometry as CIF:
```
data_TlReH2Ir
_chemical_formula_sum 'Tl1 Re1 H2 Ir1'
_cell_length_a 3.6147
_cell_length_b 3.6147
_cell_length_c 6.1347
_cell_angle_alpha 90.00
_cell_angle_beta 90.00
_cell_angle_gamma 90.00
_space_group_name_H-M_alt 'P 1'
_space_group_IT_number 1
_space_group_name_Hall 'P 1'
loop_
_atom_site_label
_atom_site_type_symbol
_atom_site_fract_x
_atom_site_fract_y
_atom_site_fract_z
Tl1 Tl 0.0000 0.0000 0.0000
Re1 Re 0.5000 0.5000 0.5000
H1 H 0.0000 0.5000 0.0000
H2 H 0.5000 0.0000 0.0000
Ir1 Ir 0.0000 0.0000 0.5000
```

=====

(6)
Material: VRe2HIr
Method: DFT, PBE
State: optimized geometry

As for the energy: -9.344 eV/atom. As for the crystal system: tetragonal. The density of states at the Fermi level comes out at 0.642 states/eV/atom.

Geometry as CIF:
```
data_VRe2HIr
_chemical_formula_sum 'V1 Re2 H1 Ir1'
_cell_length_a 3.9102
_cell_length_b 3.9102
_cell_length_c 3.9067
_cell_angle_alpha 90.00
_cell_angle_beta 90.00
_cell_angle_gamma 90.00
_space_group_name_H-M_alt 'P 1'
_space_group_IT_number 1
_space_group_name_Hall 'P 1'
loop_
_atom_site_label
_atom_site_type_symbol
_atom_site_fract_x
_atom_site_fract_y
_atom_site_fract_z
V1 V 0.0000 0.0000 0.0000
Re1 Re 0.0000 0.5000 0.5000
Re2 Re 0.5000 0.0000 0.5000
H1 H 0.0000 0.0000 0.5000
Ir1 Ir 0.5000 0.5000 0.0000
```